No. 1
Compound: TlCd5In5
Source: the Alexandria database
Functional: GGA-PBE
Structure: relaxed

Cell lengths 5.678, 5.678, 10.679 Å; angles 90.00, 90.00, 120.00 degrees
Positions (direct):
Tl (0.000, 0.000, 0.000)
Cd (0.006, 0.503, 0.500)
Cd (0.497, 0.503, 0.500)
Cd (0.497, 0.994, 0.500)
Cd (0.667, 0.333, 0.262)
Cd (0.667, 0.333, 0.738)
In (0.000, 0.000, 0.321)
In (0.000, 0.000, 0.679)
In (0.333, 0.667, 0.166)
In (0.333, 0.667, 0.834)
In (0.667, 0.333, 0.000)

Output
Energy of formation (meV per atom): 64
V (Å³ per cell): 298

---

No. 2
Compound: CdCu2Ir
Source: the Alexandria database
Functional: GGA-PBE
Structure: relaxed

Cell lengths 4.654, 4.654, 4.825 Å; angles 100.58, 100.58, 35.88 degrees
Positions (direct):
Cd (0.000, 0.000, 0.000)
Cu (0.243, 0.243, 0.719)
Cu (0.757, 0.757, 0.281)
Ir (0.500, 0.500, 0.500)

Output
Energy of formation (meV per atom): 165
V (Å³ per cell): 60

---

No. 3
Compound: SrTaAg2Pt
Source: the Alexandria database
Functional: GGA-PBE
Structure: relaxed

Cell lengths 5.222, 5.222, 4.971 Å; angles 90.00, 90.00, 90.00 degrees
Positions (direct):
Sr (0.000, 0.000, 0.000)
Ta (0.500, 0.500, 0.500)
Ag (0.000, 0.500, 0.500)
Ag (0.500, 0.000, 0.500)
Pt (0.500, 0.500, 0.000)

Output
Energy of formation (meV per atom): 392
V (Å³ per cell): 136

---

No. 4
Compound: Tb2Zn4Ga3Pd
Source: the Alexandria database
Functional: GGA-PBE
Structure: relaxed

Cell lengths 4.164, 4.164, 10.645 Å; angles 90.00, 90.00, 90.00 degrees
Positions (direct):
Tb (0.000, 0.500, 0.250)
Tb (0.500, 0.000, 0.750)
Zn (0.000, 0.000, 0.000)
Zn (0.000, 0.500, 0.637)
Zn (0.500, 0.000, 0.363)
Zn (0.500, 0.500, 0.000)
Ga (0.000, 0.500, 0.863)
Ga (0.500, 0.000, 0.137)
Ga (0.500, 0.500, 0.500)
Pd (0.000, 0.000, 0.500)

Output
Energy of formation (meV per atom): -472
V (Å³ per cell): 185

---

No. 5
Compound: Co2ReAu
Source: the Alexandria database
Functional: GGA-PBE
Structure: relaxed

Cell lengths 4.668, 4.668, 4.578 Å; angles 101.35, 101.35, 33.48 degrees
Positions (direct):
Co (0.000, 0.000, 0.000)
Co (0.731, 0.731, 0.260)
Re (0.253, 0.253, 0.805)
Au (0.489, 0.489, 0.496)

Output
Energy of formation (meV per atom): 315
V (Å³ per cell): 54
Polymorph energy (0 for the lowest one) (meV/atom): 163

---

No. 6
Compound: PaGa2Pd4
Source: the Alexandria database
Functional: GGA-PBE
Structure: relaxed

Cell lengths 8.420, 8.420, 8.420 Å; angles 29.37, 29.37, 29.37 degrees
Positions (direct):
Pa (0.000, 0.000, 0.000)
Ga (0.238, 0.238, 0.238)
Ga (0.762, 0.762, 0.762)
Pd (0.133, 0.133, 0.133)
Pd (0.402, 0.402, 0.402)
Pd (0.598, 0.598, 0.598)
Pd (0.867, 0.867, 0.867)

Output
Energy of formation (meV per atom): -560
V (Å³ per cell): 127

---

No. 7
Compound: Pu2PdS
Source: the Alexandria database
Functional: GGA-PBE
Structure: relaxed

Cell lengths 7.510, 7.510, 7.510 Å; angles 30.19, 30.19, 30.19 degrees
Positions (direct):
Pu (0.246, 0.246, 0.246)
Pu (0.754, 0.754, 0.754)
Pd (0.000, 0.000, 0.000)
S (0.500, 0.500, 0.500)

Output
Formation energy from raw total energies (kcal/mol of atoms): -20.88
V (Å³ per cell): 95

---

No. 8
Compound: LaRe3Sn
Source: the Alexandria database
Functional: GGA-PBE
Structure: relaxed

Cell lengths 4.888, 4.888, 4.888 Å; angles 90.00, 90.00, 90.00 degrees
Positions (direct):
La (0.000, 0.000, 0.000)
Re (0.000, 0.000, 0.500)
Re (0.000, 0.500, 0.000)
Re (0.500, 0.000, 0.000)
Sn (0.500, 0.500, 0.500)

Output
Energy of formation (meV per atom): 2868
V (Å³ per cell): 117
Polymorph energy (0 for the lowest one) (meV/atom): 943